Entry 1:
A relaxed AcNdBi4O8 crystal, computed with PBE.

The structure belongs to space group R3m (No. 160, hexagonal axes); the cell edges are 7.2035, 7.2035 and 18.4375 Å and the angles 90.00°, 90.00° and 120.00°. The inequivalent atoms are Ac at (0.0000, 0.0000, 0.0000), Nd at (0.0000, 0.0000, 0.6232), Bi at (0.0000, 0.0000, 0.2055), Bi at (0.0039, 0.5019, 0.1217), O at (0.0000, 0.0000, 0.3990), O at (0.0000, 0.0000, 0.8675), O at (0.0390, 0.5195, 0.3706) and O at (0.1917, 0.3834, 0.1990).

Its uncorrected formation energy is -1731 meV/atom. As for the total magnetic moment: 0.0 μB per formula unit. The total energy is -6.307 eV per atom.

=====

Entry 2:
A relaxed AcNdBiPb crystal, computed with PBE.

The structure belongs to space group F-43m (No. 216); the cell edges are 8.165, 8.165 and 8.165 Å and the angles 90.00°, 90.00° and 90.00°. The inequivalent atoms are Ac at (0.000, 0.000, 0.000), Nd at (0.000, 0.000, 0.500), Bi at (0.250, 0.250, 0.250) and Pb at (0.250, 0.250, 0.750).

As for the total magnetic moment: 0.0 μB per formula unit. The total energy is -4.661 eV per atom.